Crystalline PrSc2RuN4 at its relaxed geometry. Source: Alexandria via LeMat-Bulk, functional PBE-GGA.

Cell and atoms, written as POSCAR:
```
PrSc2RuN4
1.0
1.670 -5.656 0.000
1.670 5.656 0.000
0.000 0.000 11.090
Pr Sc Ru N
2 4 2 8
Direct
0.116 0.884 0.750
0.884 0.116 0.250
0.369 0.631 0.539
0.369 0.631 0.961
0.631 0.369 0.039
0.631 0.369 0.461
0.145 0.855 0.250
0.855 0.145 0.750
0.000 0.000 0.000
0.000 0.000 0.500
0.263 0.737 0.117
0.263 0.737 0.383
0.443 0.557 0.750
0.557 0.443 0.250
0.737 0.263 0.617
0.737 0.263 0.883
```

formation energy without anion corrections: -1.05 eV/atom


Crystalline Pa2BeH at its relaxed geometry. Source: Alexandria via LeMat-Bulk, functional PBE-GGA.

Cell and atoms, written as POSCAR:
```
Pa2BeH
1.0
3.082 0.000 0.000
0.000 3.082 0.000
0.000 0.000 6.480
Pa Be H
2 1 1
Direct
0.000 0.000 0.220
0.000 0.000 0.780
0.500 0.500 0.500
0.500 0.500 0.000
```

E: -25.35 eV per cell


Crystalline Fe2HgPd7 at its relaxed geometry. Source: Alexandria via LeMat-Bulk, functional PBE-GGA.

Cell and atoms, written as POSCAR:
```
Fe2HgPd7
1.0
3.612 -6.195 0.000
3.612 6.195 0.000
0.000 0.000 4.347
Fe Hg Pd
2 1 7
Direct
0.198 0.802 0.000
0.802 0.198 0.000
0.500 0.500 0.500
0.000 0.000 0.000
0.192 0.431 0.000
0.280 0.720 0.500
0.431 0.192 0.000
0.569 0.808 0.000
0.720 0.280 0.500
0.808 0.569 0.000
```

formation energy from the elements: 3.9 eV per formula unit